The following is a PBE-GGA calculation of crystalline CaPrIn at its relaxed geometry, from Alexandria via LeMat-Bulk.

Values from the calculation:
The energy above the most stable polymorph in this dataset comes out at 0.222 eV/atom. The formation energy from the elements is -210 meV per atom. As for the total magnetic moment: 0.00 μB/f.u. The density of states at the Fermi level comes out at 1.7 states/eV/cell.

a b c (Å): 5.387 5.387 5.387
angles (deg): 60.00 60.00 60.00
Fractional positions:
Pr  0.000  0.000  0.000
Ca  0.500  0.500  0.500
In  0.250  0.250  0.250